No. 1
Sc2InHg: optimized geometry, GGA-PBE.

```
4
Lattice="1.719 0.992 9.301 -1.719 0.992 9.301 0.000 -1.984 9.301" Properties=species:S:1:pos:R:3 pbc="T T T"
Sc 0.000 0.000 6.891
Sc 0.000 0.000 21.010
In 0.000 0.000 0.000
Hg 0.000 0.000 13.951
```

Computed properties:
M_tot   0.000 μB/f.u.
Space group   No. 166
Density of states at the Fermi level   3.76 states/eV/f.u.
Formation enthalpy at 0 K   -292 meV per atom
DFT total energy   -16.872 eV/cell



No. 2
Sc2InHg: optimized geometry, GGA-PBE.

```
4
Lattice="0.000 3.543 3.543 3.543 0.000 3.543 3.543 3.543 0.000" Properties=species:S:1:pos:R:3 pbc="T T T"
Sc 1.771 1.771 1.771
Sc 5.314 5.314 5.314
In 0.000 0.000 0.000
Hg 3.543 3.543 3.543
```

Computed properties:
M_tot   0.000 μB/f.u.
Space group   No. 225
Density of states at the Fermi level   5.12 states/eV/f.u.
Formation enthalpy at 0 K   -423 meV per atom
DFT total energy   -17.397 eV/cell



No. 3
Sc4InHg7: optimized geometry, GGA-PBE.

```
12
Lattice="6.180 -2.631 0.000 6.180 2.631 0.000 -5.500 0.000 8.912" Properties=species:S:1:pos:R:3 pbc="T T T"
Sc -0.519 0.000 2.445
Sc -1.645 0.000 7.311
Sc 8.504 0.000 1.600
Sc 7.378 0.000 6.467
In 3.430 0.000 4.456
Hg -2.750 0.000 4.456
Hg 1.545 0.000 0.396
Hg 0.439 0.000 5.232
Hg 4.576 0.000 1.298
Hg 2.284 0.000 7.614
Hg 6.421 0.000 3.679
Hg 5.314 0.000 8.516
```

Computed properties:
M_tot   0.000 μB/f.u.
Space group   No. 12
Density of states at the Fermi level   6.13 states/eV/f.u.
Formation enthalpy at 0 K   -160 meV per atom
DFT total energy   -32.096 eV/cell



No. 4
Sc3InHg6: optimized geometry, GGA-PBE.

```
20
Lattice="8.714 0.000 0.000 0.000 4.974 0.000 -4.070 0.000 10.400" Properties=species:S:1:pos:R:3 pbc="T T T"
Sc -1.136 1.244 3.997
Sc 0.462 3.731 2.205
Sc -1.642 1.244 10.245
Sc 6.286 3.731 0.155
Sc 4.182 1.244 8.195
Sc 5.780 3.731 6.402
In 1.543 1.244 6.048
In 3.101 3.731 4.352
Hg -3.467 3.731 9.580
Hg -1.533 1.244 7.216
Hg -0.114 3.731 5.304
Hg 1.839 1.244 2.934
Hg -0.368 3.731 8.577
Hg 3.299 3.731 1.257
Hg 1.345 1.244 9.143
Hg 5.012 1.244 1.823
Hg 2.804 3.731 7.466
Hg 4.757 1.244 5.096
Hg 6.177 3.731 3.184
Hg 8.111 1.244 0.819
```

Computed properties:
M_tot   0.000 μB/f.u.
Space group   No. 11
Density of states at the Fermi level   6.63 states/eV/f.u.
Formation enthalpy at 0 K   -244 meV per atom
DFT total energy   -51.960 eV/cell